The following is a DFT calculation (GGA-PBE) of a geometry-optimized CePr8Ho2 structure.

abc: 5.756 8.302 16.138
angles: 90.00 90.00 90.00
Space group Immm (No. 71)
Asymmetric unit:
1 Ce 0.000 0.000 0.000 x2
2 Pr 0.000 0.212 0.500 x4
3 Pr 0.000 0.292 0.135 x8
4 Pr 0.000 0.500 0.337 x4
5 Ho 0.000 0.000 0.300 x4

Summary:
**Energy of formation**: 11.13 kJ per mole of atoms
**D(E_F)**: 19.23 states/eV/f.u.
**Total moment**: 1.025 μB per formula unit